A plane-wave DFT calculation with PBE-GGA was carried out for a relaxed structure of PmCuBr.

* DFT total energy: -4.469 eV/atom
* E_form (uncorrected): -0.963 eV/atom
* ΔE to the lowest computed polymorph: 3 meV/atom

Cell: 11.6528 11.6528 11.6528 Å, 20.42 20.42 20.42°
With the nearest neighbours (Å) after each atom.
Fractional positions:
Pm 0.0569 0.0569 0.0569  3 Br 3.06, 6 Cu 3.07-3.09
Pm 0.9431 0.9431 0.9431  3 Br 3.06, 6 Cu 3.07-3.09
Cu 0.3339 0.3339 0.3339  3 Cu 2.39
Cu 0.6661 0.6661 0.6661  3 Cu 2.39
Br 0.2205 0.2205 0.2205  3 Pm 3.06
Br 0.7795 0.7795 0.7795  3 Pm 3.06